1.
A geometry-optimized MnTePbI2 structure, computed with GGA-PBEsol.

POSCAR file:
```
MnTePbI2
1.0
5.849 0.000 0.000
0.000 6.007 0.000
0.000 0.000 6.007
Pb I Te Mn
1 2 1 1
direct
0.000 0.000 0.000
0.000 0.000 0.500
0.000 0.500 0.000
0.500 0.000 0.000
0.500 0.500 0.500
```

***

2.
A geometry-optimized MnTePdI2 structure, computed with GGA-PBEsol.

POSCAR file:
```
MnTePdI2
1.0
-0.013 -2.747 4.517
5.284 0.142 0.101
-0.177 4.595 2.794
I Mn Te Pd
2 1 1 1
direct
0.000 0.500 0.000
0.500 0.000 0.000
0.500 0.500 0.500
0.000 0.000 0.500
0.000 0.000 0.000
```

***

3.
A geometry-optimized MnSb2PtI structure, computed with GGA-PBEsol.

Results
offset from the most stable computed form = 13 meV/atom

POSCAR file:
```
MnSb2PtI
1.0
-3.050 0.982 -3.644
3.594 -0.672 -3.190
-1.181 -4.829 -0.314
I Sb Mn Pt
1 2 1 1
direct
0.000 0.000 0.500
0.000 0.500 0.000
0.500 0.000 0.000
0.000 0.000 0.000
0.500 0.500 0.500
```

***

4.
A geometry-optimized MnSb2PtI structure, computed with GGA-PBEsol.

Results
offset from the most stable computed form = 0 meV/atom

POSCAR file:
```
MnSb2PtI
1.0
5.175 0.000 0.000
0.000 5.175 0.000
0.000 0.000 5.465
I Sb Mn Pt
1 2 1 1
direct
0.000 0.000 0.500
0.000 0.500 0.000
0.500 0.000 0.000
0.500 0.500 0.500
0.000 0.000 0.000
```

***

5.
A geometry-optimized Rb2MnI4 structure, computed with GGA-PBEsol.

POSCAR file:
```
Rb2MnI4
1.0
7.681 0.000 -0.145
0.000 8.068 0.000
-3.239 0.000 9.736
Rb Mn I
4 2 8
direct
0.203 0.750 0.541
0.797 0.250 0.459
0.282 0.750 0.080
0.718 0.250 0.920
0.794 0.750 0.710
0.206 0.250 0.290
0.622 0.750 0.438
0.378 0.250 0.562
0.977 0.993 0.226
0.023 0.007 0.774
0.023 0.493 0.774
0.977 0.507 0.226
0.581 0.750 0.865
0.419 0.250 0.135
```

***

6.
A geometry-optimized RbMn2I structure, computed with GGA-PBEsol.

POSCAR file:
```
RbMn2I
1.0
-3.973 -3.409 -1.244
1.011 -4.308 -3.062
-0.098 -4.924 2.168
I Mn Rb
1 2 1
direct
0.500 0.500 0.500
0.250 0.250 0.250
0.750 0.750 0.750
0.000 0.000 0.000
```

***

Number 1: DOS(E_F) 2.8 states/eV per cell, formation energy without anion corrections 3.02 eV/f.u.. Number 2: DOS(E_F) 2.7 states/eV per cell, formation energy without anion corrections 2.43 eV/f.u.. Number 3: DOS(E_F) 4.4 states/eV per cell, formation energy without anion corrections 3.89 eV/f.u.. Number 4: DOS(E_F) 4.7 states/eV per cell, formation energy without anion corrections 3.83 eV/f.u.. Number 5: DOS(E_F) 0.0 states/eV per cell, formation energy without anion corrections -6.96 eV/f.u.. Number 6: DOS(E_F) 5.9 states/eV per cell, formation energy without anion corrections 4.83 eV/f.u..